The following is a DFT calculation (PBE-GGA) of La2SiRh after structural relaxation.

Cell lengths 4.4086, 5.5005, 9.2233 Å; angles 115.98, 90.00, 90.00 degrees
Fractional coordinates of all 8 atoms:
La 0.7500 0.1877 0.4105
La 0.2500 0.8123 0.5895
La 0.2500 0.7836 0.0608
La 0.7500 0.2164 0.9392
Si 0.2500 0.4111 0.2289
Si 0.7500 0.5889 0.7711
Rh 0.7500 0.6433 0.2923
Rh 0.2500 0.3567 0.7077

Values from the calculation:
As for the uncorrected formation energy: -0.7614 eV/atom. The magnetization is 0.0 Bohr magnetons per cell.

***

The following is a DFT calculation (PBE-GGA) of La2SiRh after structural relaxation.

Cell lengths 7.9313, 7.9313, 6.4821 Å; angles 52.28, 52.28, 90.00 degrees
Fractional coordinates of all 8 atoms:
Si 0.5000 0.5000 0.0000
Si 0.2500 0.7500 0.5000
Rh 0.0000 0.0000 0.0000
Rh 0.7500 0.2500 0.5000
La 0.6598 0.1250 0.2500
La 0.0902 0.6250 0.2500
La 0.3750 0.3402 0.7500
La 0.8750 0.9098 0.7500

Values from the calculation:
As for the uncorrected formation energy: -0.3474 eV/atom. The magnetization is 0.0 Bohr magnetons per cell.

***

The following is a DFT calculation (PBE-GGA) of La3Si5Rh6 after structural relaxation.

Cell lengths 4.0328, 10.1342, 12.5867 Å; angles 90.00, 90.00, 90.00 degrees
Fractional coordinates of all 28 atoms:
La 0.0000 0.2568 0.6514
La 0.5000 0.7432 0.1514
La 0.5000 0.7432 0.8486
La 0.0000 0.2572 0.0000
La 0.5000 0.7428 0.5000
La 0.0000 0.2568 0.3486
Si 0.0000 0.5042 0.8733
Si 0.0000 0.8559 0.6765
Si 0.0000 0.9057 0.0000
Si 0.5000 0.4958 0.6267
Si 0.5000 0.0943 0.5000
Si 0.0000 0.5042 0.1267
Si 0.5000 0.4958 0.3733
Si 0.0000 0.8559 0.3235
Si 0.5000 0.1441 0.8235
Si 0.5000 0.1441 0.1765
Rh 0.0000 0.0117 0.8298
Rh 0.5000 0.9883 0.6702
Rh 0.5000 0.3976 0.7983
Rh 0.5000 0.5100 0.0000
Rh 0.0000 0.4900 0.5000
Rh 0.0000 0.6024 0.7017
Rh 0.0000 0.6024 0.2983
Rh 0.5000 0.0270 0.0000
Rh 0.0000 0.0117 0.1702
Rh 0.5000 0.3976 0.2017
Rh 0.0000 0.9730 0.5000
Rh 0.5000 0.9883 0.3298

Values from the calculation:
As for the uncorrected formation energy: -0.9920 eV/atom. The magnetization is 0.0 Bohr magnetons per cell.

***

Q: Which formula does entry 2 have?
A: La2SiRh

***

Q: Among the records above, which one has the lowest uncorrected formation energy?
A: La3Si5Rh6

***

Q: Among the records above, which one has the lowest uncorrected formation energy?
A: La3Si5Rh6

***

What did the first record say?
The following is a DFT calculation (PBE-GGA) of La2SiRh after structural relaxation.

Cell lengths 4.4086, 5.5005, 9.2233 Å; angles 115.98, 90.00, 90.00 degrees
Fractional coordinates of all 8 atoms:
La 0.7500 0.1877 0.4105
La 0.2500 0.8123 0.5895
La 0.2500 0.7836 0.0608
La 0.7500 0.2164 0.9392
Si 0.2500 0.4111 0.2289
Si 0.7500 0.5889 0.7711
Rh 0.7500 0.6433 0.2923
Rh 0.2500 0.3567 0.7077

Values from the calculation:
As for the uncorrected formation energy: -0.7614 eV/atom. The magnetization is 0.0 Bohr magnetons per cell.